# 1
Here is a geometry-optimized InSn2HgIr structure from the Alexandria database. Energies are from PBE-GGA.

Cell lengths 5.167, 5.167, 5.214 Å; angles 90.00, 90.00, 90.00 degrees
Element x y z (fractional)
Ir  0.000  0.000  0.000
In  0.000  0.000  0.500
Hg  0.500  0.500  0.500
Sn  0.000  0.500  0.000
Sn  0.500  0.000  0.000

As for the crystal system: tetragonal. For the magnetization, the calculation gives 0.0 μB per formula unit. The energy relative to the elements comes out at 28 meV per atom.

# 2
Here is a geometry-optimized ReMo structure from the Alexandria database. Energies are from PBE-GGA.

Cell lengths 2.776, 9.339, 2.776 Å; angles 90.00, 120.00, 90.00 degrees
Element x y z (fractional)
Mo  0.000  0.994  0.000
Mo  0.667  0.256  0.333
Re  0.000  0.508  0.000
Re  0.667  0.742  0.333

As for the energy above the lowest structure with this stoichiometry: 129 meV/atom. As for the crystal system: trigonal. For the magnetization, the calculation gives 0.0 μB per formula unit. The energy relative to the elements comes out at 222 meV per atom.

# 3
Here is a geometry-optimized Rb2BiMoN structure from the Alexandria database. Energies are from PBE-GGA.

Cell lengths 7.241, 7.241, 4.467 Å; angles 90.00, 90.00, 90.00 degrees
Element x y z (fractional)
Mo  0.500  0.500  0.500
Bi  0.000  0.000  0.000
Rb  0.000  0.500  0.000
Rb  0.500  0.000  0.000
N  0.000  0.000  0.500

As for the crystal system: tetragonal. For the magnetization, the calculation gives 5.3 μB per formula unit. The uncorrected formation energy comes out at 1.51 eV per atom.

# 4
Here is a geometry-optimized Sc2TcS structure from the Alexandria database. Energies are from PBE-GGA.

Cell lengths 8.231, 8.231, 8.231 Å; angles 23.54, 23.54, 23.54 degrees
Element x y z (fractional)
Sc  0.902  0.902  0.902
Sc  0.098  0.098  0.098
S  0.500  0.500  0.500
Tc  0.000  0.000  0.000

As for the crystal system: trigonal. For the magnetization, the calculation gives 0.0 μB per formula unit. The uncorrected formation energy comes out at -0.37 eV per atom.

N(E_F)? In order: 0.7695, 1.2100, 0.7826, 0.8060 states/eV/atom.